[1]
# AlSbBr, relaxed, DFT GGA-PBE
# raw total energy = -9.30 eV/f.u.
# distance to the lowest polymorph of the same formula = 346.9 meV per atom
# Fermi-level density of states = 1.23 states/eV/f.u.
data_AlSbBr
_symmetry_space_group_name_H-M 'P -6 m 2'
_symmetry_Int_Tables_number 187
_symmetry_space_group_name_Hall 'P -6 2'
_cell_length_a 4.8876
_cell_length_b 4.8876
_cell_length_c 3.7820
_cell_angle_alpha 90.00
_cell_angle_beta 90.00
_cell_angle_gamma 120.00
loop_
_atom_site_label
_atom_site_fract_x
_atom_site_fract_y
_atom_site_fract_z
Al1 0.0000 0.0000 0.0000
Sb1 0.3333 0.6667 0.0000
Br1 0.6667 0.3333 0.5000

***

[2]
# AlSbBr, relaxed, DFT GGA-PBE
# raw total energy = -9.52 eV/f.u.
# distance to the lowest polymorph of the same formula = 273.9 meV per atom
# Fermi-level density of states = 1.60 states/eV/f.u.
data_AlSbBr
_symmetry_space_group_name_H-M 'I 4 m m'
_symmetry_Int_Tables_number 107
_symmetry_space_group_name_Hall 'I 4 -2'
_cell_length_a 3.3004
_cell_length_b 3.3004
_cell_length_c 15.2927
_cell_angle_alpha 90.00
_cell_angle_beta 90.00
_cell_angle_gamma 90.00
loop_
_atom_site_label
_atom_site_fract_x
_atom_site_fract_y
_atom_site_fract_z
Al1 0.0000 0.0000 0.0000
Sb1 0.0000 0.0000 0.3676
Br1 0.0000 0.0000 0.6111

***

[3]
# Al4SbBr, relaxed, DFT GGA-PBE
# raw total energy = -19.54 eV/f.u.
# Fermi-level density of states = 1.89 states/eV/f.u.
data_Al4SbBr
_symmetry_space_group_name_H-M 'F -4 3 m'
_symmetry_Int_Tables_number 216
_symmetry_space_group_name_Hall 'F -4 2 3'
_cell_length_a 8.0060
_cell_length_b 8.0060
_cell_length_c 8.0060
_cell_angle_alpha 90.00
_cell_angle_beta 90.00
_cell_angle_gamma 90.00
loop_
_atom_site_label
_atom_site_fract_x
_atom_site_fract_y
_atom_site_fract_z
Al1 0.1249 0.1249 0.1249
Sb1 0.0000 0.0000 0.5000
Br1 0.2500 0.2500 0.7500

***

[4]
# AlSbBr, relaxed, DFT GGA-PBE
# raw total energy = -9.96 eV/f.u.
# distance to the lowest polymorph of the same formula = 125.2 meV per atom
# Fermi-level density of states = 0.97 states/eV/f.u.
data_AlSbBr
_symmetry_space_group_name_H-M 'P 1'
_symmetry_Int_Tables_number 1
_cell_length_a 4.8631
_cell_length_b 5.4261
_cell_length_c 7.8313
_cell_angle_alpha 103.69
_cell_angle_beta 103.89
_cell_angle_gamma 101.65
loop_
_symmetry_equiv_pos_as_xyz
'x,y,z'
loop_
_atom_site_label
_atom_site_fract_x
_atom_site_fract_y
_atom_site_fract_z
Al1 0.0000 0.0000 0.0000
Al2 0.2093 0.6971 0.4796
Sb1 0.0552 0.5506 0.1130
Sb2 0.8205 0.8966 0.6319
Br1 0.3096 0.3619 0.6220
Br2 0.5654 0.0597 0.1297

***

[5]
# AlSbBr, relaxed, DFT GGA-PBE
# raw total energy = -9.77 eV/f.u.
# distance to the lowest polymorph of the same formula = 187.8 meV per atom
# Fermi-level density of states = 1.13 states/eV/f.u.
data_AlSbBr
_symmetry_space_group_name_H-M 'F m m 2'
_symmetry_Int_Tables_number 42
_symmetry_space_group_name_Hall 'F 2 -2'
_cell_length_a 3.5744
_cell_length_b 6.0900
_cell_length_c 15.9416
_cell_angle_alpha 90.00
_cell_angle_beta 90.00
_cell_angle_gamma 90.00
loop_
_atom_site_label
_atom_site_fract_x
_atom_site_fract_y
_atom_site_fract_z
Al1 0.0000 0.0000 0.0000
Sb1 0.0000 0.0000 0.3693
Br1 0.0000 0.0000 0.6174

***

[6]
# AlSbBr, relaxed, DFT GGA-PBE
# raw total energy = -8.81 eV/f.u.
# distance to the lowest polymorph of the same formula = 510.9 meV per atom
# Fermi-level density of states = 2.17 states/eV/f.u.
data_AlSbBr
_symmetry_space_group_name_H-M 'F -4 3 m'
_symmetry_Int_Tables_number 216
_symmetry_space_group_name_Hall 'F -4 2 3'
_cell_length_a 7.0718
_cell_length_b 7.0718
_cell_length_c 7.0718
_cell_angle_alpha 90.00
_cell_angle_beta 90.00
_cell_angle_gamma 90.00
loop_
_atom_site_label
_atom_site_fract_x
_atom_site_fract_y
_atom_site_fract_z
Al1 0.0000 0.0000 0.0000
Sb1 0.2500 0.2500 0.7500
Br1 0.0000 0.0000 0.5000

***

[7]
# AlSbBr, relaxed, DFT GGA-PBE
# raw total energy = -10.34 eV/f.u.
# distance to the lowest polymorph of the same formula = 0.0 meV per atom
# Fermi-level density of states = 1.05 states/eV/f.u.
data_AlSbBr
_symmetry_space_group_name_H-M 'P 3 m 1'
_symmetry_Int_Tables_number 156
_cell_length_a 3.6543
_cell_length_b 3.6543
_cell_length_c 7.6203
_cell_angle_alpha 90.00
_cell_angle_beta 90.00
_cell_angle_gamma 120.00
loop_
_symmetry_equiv_pos_as_xyz
'x,y,z'
'-y,x-y,z'
'-x+y,-x,z'
'-y,-x,z'
'-x+y,y,z'
'x,x-y,z'
loop_
_atom_site_label
_atom_site_fract_x
_atom_site_fract_y
_atom_site_fract_z
Al1 0.0000 0.0000 0.0000
Sb1 0.6667 0.3333 0.7652
Br1 0.3333 0.6667 0.2259

***

[8]
# AlSbBr3, relaxed, DFT GGA-PBE
# raw total energy = -13.44 eV/f.u.
# Fermi-level density of states = 0.78 states/eV/f.u.
data_AlSbBr3
_symmetry_space_group_name_H-M 'P m -3 m'
_symmetry_Int_Tables_number 221
_symmetry_space_group_name_Hall '-P 4 2 3'
_cell_length_a 5.7446
_cell_length_b 5.7446
_cell_length_c 5.7446
_cell_angle_alpha 90.00
_cell_angle_beta 90.00
_cell_angle_gamma 90.00
loop_
_atom_site_label
_atom_site_fract_x
_atom_site_fract_y
_atom_site_fract_z
Al1 0.0000 0.0000 0.0000
Sb1 0.5000 0.5000 0.5000
Br1 0.0000 0.5000 0.5000

***

[9]
# AlSbBr, relaxed, DFT GGA-PBE
# raw total energy = -9.08 eV/f.u.
# distance to the lowest polymorph of the same formula = 420.8 meV per atom
# Fermi-level density of states = 3.77 states/eV/f.u.
data_AlSbBr
_symmetry_space_group_name_H-M 'F -4 3 m'
_symmetry_Int_Tables_number 216
_symmetry_space_group_name_Hall 'F -4 2 3'
_cell_length_a 6.9091
_cell_length_b 6.9091
_cell_length_c 6.9091
_cell_angle_alpha 90.00
_cell_angle_beta 90.00
_cell_angle_gamma 90.00
loop_
_atom_site_label
_atom_site_fract_x
_atom_site_fract_y
_atom_site_fract_z
Al1 0.0000 0.0000 0.0000
Sb1 0.2500 0.2500 0.7500
Br1 0.2500 0.2500 0.2500

***

[10]
# AlSb3Br, relaxed, DFT GGA-PBE
# raw total energy = -15.53 eV/f.u.
# distance to the lowest polymorph of the same formula = 0.0 meV per atom
# Fermi-level density of states = 5.56 states/eV/f.u.
data_AlSb3Br
_symmetry_space_group_name_H-M 'P m -3 m'
_symmetry_Int_Tables_number 221
_symmetry_space_group_name_Hall '-P 4 2 3'
_cell_length_a 5.3252
_cell_length_b 5.3252
_cell_length_c 5.3252
_cell_angle_alpha 90.00
_cell_angle_beta 90.00
_cell_angle_gamma 90.00
loop_
_atom_site_label
_atom_site_fract_x
_atom_site_fract_y
_atom_site_fract_z
Al1 0.0000 0.0000 0.0000
Sb1 0.0000 0.0000 0.5000
Br1 0.5000 0.5000 0.5000

***

[11]
# AlSbBr, relaxed, DFT GGA-PBE
# raw total energy = -10.17 eV/f.u.
# distance to the lowest polymorph of the same formula = 55.7 meV per atom
# Fermi-level density of states = 0.98 states/eV/f.u.
data_AlSbBr
_symmetry_space_group_name_H-M 'I 4 m m'
_symmetry_Int_Tables_number 107
_symmetry_space_group_name_Hall 'I 4 -2'
_cell_length_a 3.5759
_cell_length_b 3.5759
_cell_length_c 15.3124
_cell_angle_alpha 90.00
_cell_angle_beta 90.00
_cell_angle_gamma 90.00
loop_
_atom_site_label
_atom_site_fract_x
_atom_site_fract_y
_atom_site_fract_z
Al1 0.0000 0.0000 0.0000
Sb1 0.0000 0.0000 0.5933
Br1 0.0000 0.0000 0.8521

***

[12]
# AlSiSbBr2, relaxed, DFT GGA-PBE
# raw total energy = -15.30 eV/f.u.
# distance to the lowest polymorph of the same formula = 15.4 meV per atom
# Fermi-level density of states = 2.15 states/eV/f.u.
data_AlSiSbBr2
_symmetry_space_group_name_H-M 'P 4/m m m'
_symmetry_Int_Tables_number 123
_symmetry_space_group_name_Hall '-P 4 2'
_cell_length_a 4.9616
_cell_length_b 4.9616
_cell_length_c 5.2107
_cell_angle_alpha 90.00
_cell_angle_beta 90.00
_cell_angle_gamma 90.00
loop_
_atom_site_label
_atom_site_fract_x
_atom_site_fract_y
_atom_site_fract_z
Al1 0.0000 0.0000 0.0000
Si1 0.0000 0.0000 0.5000
Sb1 0.5000 0.5000 0.5000
Br1 0.0000 0.5000 0.0000

***

Q: Which of these has the lowest Fermi-level density of states?
A: AlSbBr3